Record 1
Nb2V2W, optimized geometry, DFT GGA-PBE; volume = 16.67 Å³ per atom; calculated density = 9.4 g/cm³; space-group type = No. 127; distance to the lowest polymorph of the same formula = 580 meV per atom; DOS(E_F) = 1.223 states/eV per atom; formation energy = 2.892 eV/f.u.; total magnetic moment = 0.00 μB per cell
1.0
-3.521 -3.852 5.000
6.018 -3.774 1.330
0.840 2.125 2.228
Nb W V
4 2 4
Cartesian
3.875 -4.533 2.861 Nb
0.948 -5.727 5.103 Nb
-1.378 -3.093 3.468 Nb
1.549 -1.899 1.227 Nb
0.000 0.000 0.000 W
1.249 -3.813 3.165 W
3.808 -1.983 2.740 V
3.230 -4.649 5.501 V
-0.471 -3.519 5.818 V
0.108 -0.852 3.057 V


Record 2
NbVW2, optimized geometry, DFT GGA-PBE; volume = 15.96 Å³ per atom; calculated density = 13.3 g/cm³; space-group type = No. 65; distance to the lowest polymorph of the same formula = 0 meV per atom; DOS(E_F) = 0.934 states/eV per atom; formation energy = -0.197 eV/f.u.; total magnetic moment = 0.00 μB per cell
1.0
2.765 0.018 0.000
-0.958 2.593 0.000
0.000 0.000 8.881
Nb V W
1 1 2
Cartesian
0.903 1.306 4.440 Nb
0.903 1.306 0.000 V
0.000 0.000 2.098 W
0.000 0.000 6.783 W


Record 3
NbV6W5, optimized geometry, DFT GGA-PBE; volume = 14.87 Å³ per atom; calculated density = 12.3 g/cm³; space-group type = No. 71; DOS(E_F) = 1.074 states/eV per atom; formation energy = -0.650 eV/f.u.; total magnetic moment = 0.00 μB per cell
1.0
-4.132 -1.309 -0.611
0.523 1.181 -6.062
3.903 -6.083 2.321
Nb W V
1 5 6
Cartesian
0.000 0.000 0.000 Nb
-1.364 -2.711 -0.646 W
1.398 -4.096 -0.677 W
0.261 0.590 -3.031 W
-1.104 -2.116 -3.676 W
1.658 -3.501 -3.708 W
-0.544 -4.440 -2.485 V
-0.803 -5.026 0.525 V
-1.676 0.227 -4.830 V
-1.933 -0.355 -1.844 V
1.098 -1.186 -4.878 V
0.838 -1.772 -1.869 V


Record 4
Nb2V2W3, optimized geometry, DFT GGA-PBE; volume = 15.97 Å³ per atom; calculated density = 12.5 g/cm³; space-group type = No. 2; DOS(E_F) = 0.925 states/eV per atom; formation energy = -0.157 eV/f.u.; total magnetic moment = 0.00 μB per cell
1.0
-1.891 1.781 0.932
1.926 -1.342 9.099
2.672 3.845 8.878
Nb V W
2 2 3
Cartesian
-0.176 1.120 2.925 Nb
2.883 3.163 15.985 Nb
1.456 1.583 8.032 V
1.250 2.700 10.878 V
0.000 0.000 0.000 W
-0.294 2.237 5.953 W
3.000 2.046 12.957 W


Record 5
Nb4VW2, optimized geometry, DFT GGA-PBE; volume = 17.42 Å³ per atom; calculated density = 10.8 g/cm³; space-group type = No. 65; distance to the lowest polymorph of the same formula = 0 meV per atom; DOS(E_F) = 1.031 states/eV per atom; formation energy = 1.919 eV/f.u.; total magnetic moment = 0.00 μB per cell
1.0
-0.301 0.063 2.649
-4.612 -1.149 -0.496
4.568 -8.710 0.727
Nb V W
4 1 2
Cartesian
0.161 -1.247 1.391 Nb
1.610 -6.607 0.341 Nb
-0.506 -8.549 1.490 Nb
-1.654 -3.252 -0.110 Nb
-2.306 -0.575 -0.248 V
0.808 -3.904 1.528 W
-1.153 -5.892 1.352 W


Record 6
Nb2VW, optimized geometry, DFT GGA-PBE; volume = 16.62 Å³ per atom; calculated density = 10.5 g/cm³; space-group type = No. 225; distance to the lowest polymorph of the same formula = 0 meV per atom; DOS(E_F) = 1.526 states/eV per atom; formation energy = -0.032 eV/f.u.; total magnetic moment = 0.00 μB per cell
1.0
-3.528 -2.859 -0.229
-1.108 -1.931 -3.964
0.714 -4.444 -0.642
Nb W V
2 1 1
Cartesian
-0.980 -2.309 -1.209 Nb
-2.941 -6.926 -3.627 Nb
-1.961 -4.617 -2.418 W
0.000 0.000 0.000 V